# 1
VASP calculation (PBE) on crystalline HfSi2O at its relaxed geometry.

Values from the calculation:
- E_form (uncorrected): -0.42 eV/atom
- Volume: 15.3 Å³ per atom

a = 5.898 Å, b = 5.898 Å, c = 7.040 Å
α = 90.00°, β = 90.00°, γ = 90.00°
Space group I-42d (No. 122)
Asymmetric unit:
Hf1 0.000 0.000 0.000 [4 per cell]
Si1 0.145 0.750 0.625 [8 per cell]
O1 0.000 0.000 0.500 [4 per cell]

***

# 2
VASP calculation (PBE) on crystalline Li2YIn2 at its relaxed geometry.

Values from the calculation:
- E above lowest polymorph: 27.4 meV/atom
- Volume: 23.2 Å³ per atom
- E_form: -0.294 eV per atom

a = 4.103 Å, b = 4.103 Å, c = 13.777 Å
α = 90.00°, β = 90.00°, γ = 90.00°
Space group I4/mmm (No. 139)
Asymmetric unit:
Li1 0.000 0.500 0.250 [4 per cell]
Y1 0.000 0.000 0.000 [2 per cell]
In1 0.000 0.000 0.392 [4 per cell]